1.
## Ca3SnH (PBE-GGA)

Data for an optimized crystal structure of Ca3SnH.

E above lowest polymorph = 0.00 eV/f.u.

Cell: 4.951 4.951 4.951 Å, 90.00 90.00 90.00°
Space group Pm-3m (No. 221)
Inequivalent atoms, fractional coordinates:
Ca: 0.000 0.000 0.500 (multiplicity 3)
Sn: 0.500 0.500 0.500 (multiplicity 1)
H: 0.000 0.000 0.000 (multiplicity 1)



2.
## TmPaCSe2 (PBE-GGA)

Data for an optimized crystal structure of TmPaCSe2.

energy relative to the elements, uncorrected = -1256 meV/atom

Cell: 3.963 3.963 14.382 Å, 90.00 90.00 90.00°
Space group P4/nmm (No. 129, origin choice 2)
Inequivalent atoms, fractional coordinates:
Tm: 0.250 0.250 0.120 (multiplicity 2)
Pa: 0.250 0.250 0.582 (multiplicity 2)
C: 0.250 0.750 0.500 (multiplicity 2)
Se: 0.250 0.250 0.305 (multiplicity 2)
Se: 0.250 0.250 0.909 (multiplicity 2)



3.
## SbAsAu2 (PBE-GGA)

Data for an optimized crystal structure of SbAsAu2.

E above lowest polymorph = 0.13 eV/f.u.
energy relative to the elements, uncorrected = 68 meV/atom

Cell: 4.167 3.819 5.622 Å, 90.00 106.91 90.00°
Space group Pm (No. 6)
Inequivalent atoms, fractional coordinates:
Sb: 0.000 0.000 0.000 (multiplicity 1)
As: 0.408 0.500 0.576 (multiplicity 1)
Au: 0.522 0.500 0.096 (multiplicity 1)
Au: 0.906 0.000 0.493 (multiplicity 1)



4.
## LiFeAs (PBE-GGA)

Data for an optimized crystal structure of LiFeAs.

energy relative to the elements = 0.19 eV/atom

Cell: 9.612 9.612 4.695 Å, 90.00 90.00 90.00°
Space group I4/mmm (No. 139)
Inequivalent atoms, fractional coordinates:
Li: 0.000 0.224 0.000 (multiplicity 8)
Fe: 0.219 0.219 0.500 (multiplicity 8)
As: 0.000 0.275 0.500 (multiplicity 8)



5.
## Pr2PaZnRu2 (PBE-GGA)

Data for an optimized crystal structure of Pr2PaZnRu2.

energy relative to the elements = -0.31 eV/atom

Cell: 6.379 13.440 6.763 Å, 90.00 90.00 90.00°
Space group Ibam (No. 72)
Inequivalent atoms, fractional coordinates:
Pr: 0.187 0.177 0.000 (multiplicity 8)
Pa: 0.000 0.500 0.250 (multiplicity 4)
Zn: 0.000 0.000 0.250 (multiplicity 4)
Ru: 0.231 0.406 0.000 (multiplicity 8)



6.
## TlFeNi2C (PBE-GGA)

Data for an optimized crystal structure of TlFeNi2C.

energy relative to the elements = 0.20 eV/atom

Cell: 3.928 3.928 3.888 Å, 90.00 90.00 90.00°
Space group P4/mmm (No. 123)
Inequivalent atoms, fractional coordinates:
Tl: 0.000 0.000 0.000 (multiplicity 1)
Fe: 0.500 0.500 0.000 (multiplicity 1)
Ni: 0.000 0.500 0.500 (multiplicity 2)
C: 0.500 0.500 0.500 (multiplicity 1)



| no. | density (g/cm3) |
| --- | --- |
| 1 | 3.282 |
| 2 | 8.381 |
| 3 | 11.459 |
| 4 | 4.218 |
| 5 | 8.940 |
| 6 | 10.782 |